Record 1
DFT (GGA-PBE) results for crystalline Pm4NpS7 at its relaxed geometry.

Output
- total magnetization (μB/cell) = 8.69
- electronic total energy (eV/atom) = -6.98
- E_form (uncorrected) (eV/f.u.) = -22.91

Unit cell a=13.2094 b=3.9223 c=11.8251 alpha=90.00 beta=105.00 gamma=90.00
Space group Cm (No. 8)
Asymmetric unit:
Pm  0.0000  0.0000  0.0000
Pm  0.0838  0.5000  0.3840
Pm  0.1877  0.0000  0.7672
Pm  0.3851  0.5000  0.5748
Np  0.2705  0.5000  0.1521
S  0.0451  0.5000  0.6257
S  0.1246  0.5000  0.9268
S  0.1512  0.0000  0.2251
S  0.2256  0.0000  0.5246
S  0.3440  0.5000  0.7915
S  0.3822  0.0000  0.0770
S  0.4261  0.5000  0.3568



Record 2
DFT (GGA-PBE) results for crystalline Pm3DyRu at its relaxed geometry.

Output
- energy of formation (kJ per mole of atoms) = 3.6
- total magnetization (μB/cell) = 0.04
- E above lowest polymorph (kJ/mol of formula units) = 78
- electronic total energy (eV/atom) = -5.59

Unit cell a=5.4967 b=5.4967 c=5.4967 alpha=90.00 beta=90.00 gamma=90.00
Space group Pm-3m (No. 221)
Asymmetric unit:
Pm  0.0000  0.0000  0.5000
Dy  0.5000  0.5000  0.5000
Ru  0.0000  0.0000  0.0000



Record 3
DFT (GGA-PBE) results for crystalline Pm7Hg2N2 at its relaxed geometry.

Output
- total magnetization (μB/cell) = 0.00
- electronic total energy (eV/atom) = -5.10
- E_form (uncorrected) (eV/f.u.) = -5.59

Unit cell a=11.3399 b=7.5158 c=6.7131 alpha=90.00 beta=95.55 gamma=90.00
Space group C2/m (No. 12)
Asymmetric unit:
Pm  0.0000  0.0000  0.0000
Pm  0.0635  0.5000  0.7952
Pm  0.2240  0.2750  0.2306
Hg  0.0000  0.1855  0.5000
N  0.2289  0.0000  0.0229



Record 4
DFT (GGA-PBE) results for crystalline GdErMg4 at its relaxed geometry.

Output
- energy of formation (kJ per mole of atoms) = -7.4
- total magnetization (μB/cell) = 30.97
- electronic total energy (eV/atom) = -4.25

Unit cell a=8.5357 b=8.5357 c=8.5357 alpha=90.00 beta=90.00 gamma=90.00
Space group F-43m (No. 216)
Asymmetric unit:
Gd  0.0000  0.0000  0.0000
Er  0.2500  0.2500  0.7500
Mg  0.1248  0.1248  0.3752



Record 5
DFT (GGA-PBE) results for crystalline H2SeS at its relaxed geometry.

Output
- total magnetization (μB/cell) = 0.00
- E above lowest polymorph (kJ/mol of formula units) = 50
- electronic total energy (eV/atom) = -3.46

Unit cell a=3.4952 b=3.4978 c=6.8252 alpha=102.87 beta=99.84 gamma=90.52
Space group P1 (No. 1)
Asymmetric unit:
H  0.0000  0.0000  0.0000
H  0.1217  0.1061  0.9460
Se  0.3872  0.3021  0.5275
S  0.7783  0.8275  0.4186



Record 6
DFT (GGA-PBE) results for crystalline ThScTe at its relaxed geometry.

Output
- total magnetization (μB/cell) = 0.03
- E above lowest polymorph (kJ/mol of formula units) = 0
- electronic total energy (eV/atom) = -6.34
- E_form (uncorrected) (eV/f.u.) = -2.14

Unit cell a=4.3848 b=4.3848 c=8.4063 alpha=90.00 beta=90.00 gamma=90.00
Space group P4/nmm (No. 129, origin choice 2)
Asymmetric unit:
Th  0.2500  0.2500  0.1458
Sc  0.2500  0.7500  0.5000
Te  0.2500  0.2500  0.7525



Record 7
DFT (GGA-PBE) results for crystalline Cs2CdCl7 at its relaxed geometry.

Output
- total magnetization (μB/cell) = 2.00
- electronic total energy (eV/atom) = -2.56
- E_form (uncorrected) (eV/f.u.) = -10.04

Unit cell a=7.4305 b=7.4305 c=11.8035 alpha=90.00 beta=90.00 gamma=90.00
Space group I4/mmm (No. 139)
Asymmetric unit:
Cs  0.0000  0.5000  0.2500
Cd  0.0000  0.0000  0.0000
Cl  0.0000  0.0000  0.2096
Cl  0.0000  0.0000  0.5000
Cl  0.2423  0.2423  0.5000



Record 8
DFT (GGA-PBE) results for crystalline La2WAu at its relaxed geometry.

Output
- energy of formation (kJ per mole of atoms) = 28.2
- total magnetization (μB/cell) = 0.00
- E above lowest polymorph (kJ/mol of formula units) = 76
- electronic total energy (eV/atom) = -6.23

Unit cell a=3.6836 b=3.6836 c=8.1321 alpha=90.00 beta=90.00 gamma=90.00
Space group P4mm (No. 99)
Asymmetric unit:
La  0.0000  0.0000  0.0000
La  0.5000  0.5000  0.4068
W  0.0000  0.0000  0.6575
Au  0.5000  0.5000  0.7848



Record 9
DFT (GGA-PBE) results for crystalline TiBeNiOs at its relaxed geometry.

Output
- energy of formation (kJ per mole of atoms) = -34.0
- total magnetization (μB/cell) = 0.00
- electronic total energy (eV/atom) = -7.51

Unit cell a=5.8363 b=5.8363 c=5.8363 alpha=90.00 beta=90.00 gamma=90.00
Space group F-43m (No. 216)
Asymmetric unit:
Ti  0.0000  0.0000  0.0000
Be  0.0000  0.0000  0.5000
Ni  0.2500  0.2500  0.7500
Os  0.2500  0.2500  0.2500



Record 10
DFT (GGA-PBE) results for crystalline In3Pd6Pt at its relaxed geometry.

Output
- energy of formation (kJ per mole of atoms) = -39.9
- total magnetization (μB/cell) = 0.00
- E above lowest polymorph (kJ/mol of formula units) = 0
- electronic total energy (eV/atom) = -4.96

Unit cell a=7.6416 b=4.7136 c=10.0041 alpha=90.00 beta=110.87 gamma=90.00
Space group P2_1/m (No. 11)
Asymmetric unit:
In  0.0718  0.2500  0.2291
In  0.3015  0.2500  0.0188
In  0.3243  0.7500  0.3854
Pd  0.0957  0.2500  0.7261
Pd  0.1040  0.7500  0.0757
Pd  0.2904  0.2500  0.5320
Pd  0.3071  0.7500  0.8631
Pd  0.4767  0.2500  0.3195
Pd  0.4996  0.2500  0.8312
Pt  0.1035  0.7500  0.5633



Record 11
DFT (GGA-PBE) results for crystalline Tb8TmTh4 at its relaxed geometry.

Output
- energy of formation (kJ per mole of atoms) = 21.4
- total magnetization (μB/cell) = 0.00
- electronic total energy (eV/atom) = -5.25

Unit cell a=7.3876 b=7.3876 c=26.8739 alpha=90.00 beta=90.00 gamma=120.00
Space group R-3m (No. 166, hexagonal axes)
Asymmetric unit:
Tb  0.0000  0.0000  0.2200
Tb  0.0382  0.5191  0.7685
Tm  0.0000  0.0000  0.5000
Th  0.0000  0.0000  0.0000
Th  0.0000  0.5000  0.0000



Record 12
DFT (GGA-PBE) results for crystalline Pm2UGe4Ir3 at its relaxed geometry.

Output
- energy of formation (kJ per mole of atoms) = -56.9
- total magnetization (μB/cell) = 1.98
- electronic total energy (eV/atom) = -7.17

Unit cell a=4.2358 b=4.2358 c=11.3746 alpha=90.00 beta=90.00 gamma=90.00
Space group P-4m2 (No. 115)
Asymmetric unit:
Pm  0.0000  0.5000  0.2301
U  0.0000  0.0000  0.5000
Ge  0.0000  0.0000  0.0000
Ge  0.0000  0.5000  0.6712
Ge  0.5000  0.5000  0.0000
Ir  0.0000  0.5000  0.8851
Ir  0.5000  0.5000  0.5000



Record 13
DFT (GGA-PBE) results for crystalline Sm2Ge5Os at its relaxed geometry.

Output
- energy of formation (kJ per mole of atoms) = -30.6
- total magnetization (μB/cell) = 0.00
- electronic total energy (eV/atom) = -5.79

Unit cell a=6.1601 b=6.1601 c=8.9404 alpha=90.00 beta=90.00 gamma=90.00
Space group I4mm (No. 107)
Asymmetric unit:
Sm  0.0000  0.5000  0.0000
Ge  0.0000  0.0000  0.0444
Ge  0.2154  0.2154  0.2602
Os  0.0000  0.0000  0.7759



Record 14
DFT (GGA-PBE) results for crystalline Ti3Zn2Tc at its relaxed geometry.

Output
- energy of formation (kJ per mole of atoms) = -32.6
- total magnetization (μB/cell) = 0.00
- E above lowest polymorph (kJ/mol of formula units) = 0
- electronic total energy (eV/atom) = -6.44

Unit cell a=3.1650 b=3.1650 c=9.2432 alpha=90.00 beta=90.00 gamma=90.00
Space group P4/mmm (No. 123)
Asymmetric unit:
Ti  0.0000  0.0000  0.0000
Ti  0.0000  0.0000  0.3424
Zn  0.5000  0.5000  0.1701
Tc  0.5000  0.5000  0.5000



Record 15
DFT (GGA-PBE) results for crystalline Y3BPd at its relaxed geometry.

Output
- energy of formation (kJ per mole of atoms) = -13.7
- total magnetization (μB/cell) = 0.00
- E above lowest polymorph (kJ/mol of formula units) = 0
- electronic total energy (eV/atom) = -6.39

Unit cell a=4.9776 b=4.9776 c=4.9776 alpha=90.00 beta=90.00 gamma=90.00
Space group Pm-3m (No. 221)
Asymmetric unit:
Y  0.0000  0.0000  0.5000
B  0.0000  0.0000  0.0000
Pd  0.5000  0.5000  0.5000



Record 16
DFT (GGA-PBE) results for crystalline RbAcAs2 at its relaxed geometry.

Output
- energy of formation (kJ per mole of atoms) = -53.6
- total magnetization (μB/cell) = 0.03
- E above lowest polymorph (kJ/mol of formula units) = 102
- electronic total energy (eV/atom) = -4.15

Unit cell a=4.7383 b=4.7383 c=23.8841 alpha=90.00 beta=90.00 gamma=120.00
Space group R-3m (No. 166, hexagonal axes)
Asymmetric unit:
Rb  0.0000  0.0000  0.0000
Ac  0.0000  0.0000  0.5000
As  0.0000  0.0000  0.2313



Record 17
DFT (GGA-PBE) results for crystalline Ag7Sn2Bi2Au at its relaxed geometry.

Output
- energy of formation (kJ per mole of atoms) = 7.7
- total magnetization (μB/cell) = 0.00
- electronic total energy (eV/atom) = -3.17

Unit cell a=5.7474 b=5.7502 c=16.3645 alpha=90.00 beta=99.38 gamma=90.00
Space group C2/m (No. 12)
Asymmetric unit:
Ag  0.0000  0.0000  0.0000
Ag  0.1855  0.2496  0.8665
Ag  0.2244  0.0000  0.4576
Sn  0.1347  0.0000  0.2696
Bi  0.1804  0.5000  0.3621
Au  0.0000  0.5000  0.0000



Record 18
DFT (GGA-PBE) results for crystalline NaSrLiCo2 at its relaxed geometry.

Output
- energy of formation (kJ per mole of atoms) = 138.1
- total magnetization (μB/cell) = 2.78
- electronic total energy (eV/atom) = -2.39

Unit cell a=5.1482 b=5.1482 c=5.5904 alpha=90.00 beta=90.00 gamma=90.00
Space group P4/mmm (No. 123)
Asymmetric unit:
Na  0.0000  0.0000  0.0000
Sr  0.5000  0.5000  0.5000
Li  0.5000  0.5000  0.0000
Co  0.0000  0.5000  0.5000



Record 19
DFT (GGA-PBE) results for crystalline TaAlPt2 at its relaxed geometry.

Output
- energy of formation (kJ per mole of atoms) = -66.1
- total magnetization (μB/cell) = 0.00
- electronic total energy (eV/atom) = -7.60

Unit cell a=9.3214 b=2.8281 c=4.9072 alpha=90.00 beta=97.67 gamma=90.00
Space group Cm (No. 8)
Asymmetric unit:
Ta  0.0000  0.0000  0.0000
Al  0.2400  0.0000  0.6576
Pt  0.0014  0.5000  0.5093
Pt  0.2468  0.5000  0.1819



Record 20
DFT (GGA-PBE) results for crystalline InGa2IrCl at its relaxed geometry.

Output
- total magnetization (μB/cell) = 0.00
- E above lowest polymorph (kJ/mol of formula units) = 0
- electronic total energy (eV/atom) = -4.42
- E_form (uncorrected) (eV/f.u.) = -2.59

Unit cell a=4.8251 b=4.8251 c=5.2649 alpha=90.00 beta=90.00 gamma=90.00
Space group P4/mmm (No. 123)
Asymmetric unit:
In  0.0000  0.0000  0.0000
Ga  0.0000  0.5000  0.5000
Ir  0.0000  0.0000  0.5000
Cl  0.5000  0.5000  0.0000



Record 21
DFT (GGA-PBE) results for crystalline Ti4MnN4 at its relaxed geometry.

Output
- total magnetization (μB/cell) = 0.18
- electronic total energy (eV/atom) = -9.63
- E_form (uncorrected) (eV/f.u.) = -12.62

Unit cell a=6.5775 b=6.5775 c=4.2150 alpha=90.00 beta=90.00 gamma=90.00
Space group I4/m (No. 87)
Asymmetric unit:
Ti  0.1092  0.3068  0.0000
Mn  0.0000  0.0000  0.5000
N  0.0992  0.2968  0.5000



Record 22
DFT (GGA-PBE) results for crystalline TiTl2Zn at its relaxed geometry.

Output
- energy of formation (kJ per mole of atoms) = 35.6
- total magnetization (μB/cell) = 0.00
- E above lowest polymorph (kJ/mol of formula units) = 0
- electronic total energy (eV/atom) = -3.11

Unit cell a=7.6388 b=7.6388 c=6.1190 alpha=90.00 beta=90.00 gamma=90.00
Space group I-42d (No. 122)
Asymmetric unit:
Ti  0.0000  0.0000  0.0000
Tl  0.2331  0.2500  0.6250
Zn  0.0000  0.0000  0.5000



Record 23
DFT (GGA-PBE) results for crystalline Eu2TmPb at its relaxed geometry.

Output
- energy of formation (kJ per mole of atoms) = -26.2
- total magnetization (μB/cell) = 14.74
- E above lowest polymorph (kJ/mol of formula units) = 0
- electronic total energy (eV/atom) = -7.45

Unit cell a=4.9252 b=4.9252 c=5.1676 alpha=90.00 beta=90.00 gamma=90.00
Space group P4/mmm (No. 123)
Asymmetric unit:
Eu  0.0000  0.5000  0.0000
Tm  0.0000  0.0000  0.5000
Pb  0.5000  0.5000  0.5000



Record 24
DFT (GGA-PBE) results for crystalline AcTlH8Rh2 at its relaxed geometry.

Output
- total magnetization (μB/cell) = 0.00
- electronic total energy (eV/atom) = -4.08

Unit cell a=5.1879 b=5.1879 c=17.5274 alpha=90.00 beta=90.00 gamma=120.00
Space group R-3 (No. 148, hexagonal axes)
Asymmetric unit:
Ac  0.0000  0.0000  0.0000
Tl  0.0000  0.0000  0.5000
H  0.0000  0.0000  0.3000
H  0.0482  0.5258  0.5467
Rh  0.0000  0.0000  0.2027



Record 25
DFT (GGA-PBE) results for crystalline UPt2Au at its relaxed geometry.

Output
- energy of formation (kJ per mole of atoms) = -37.0
- total magnetization (μB/cell) = 2.90
- electronic total energy (eV/atom) = -7.05

Unit cell a=3.9117 b=3.9117 c=19.4215 alpha=90.00 beta=90.00 gamma=120.00
Space group R3m (No. 160, hexagonal axes)
Asymmetric unit:
U  0.0000  0.0000  0.0000
Pt  0.0000  0.0000  0.4159
Pt  0.0000  0.0000  0.5837
Au  0.0000  0.0000  0.1683